(1)
## CePtRh4 (PBE)

Data for a geometry-optimized CePtRh4 structure.

Computed properties:
ΔE_f	-0.312	eV/atom
total magnetic moment	0.0	Bohr magnetons per cell
space-group type	F-43m, No. 216
offset from the most stable computed form	0.000	eV per atom

Cell and atoms, written as POSCAR:
```
CePtRh4
1.0
0.000 3.702 3.702
3.702 0.000 3.702
3.702 3.702 0.000
Ce Pt Rh
1 1 4
Cartesian
0.000 0.000 0.000 Ce
5.554 5.554 5.554 Pt
2.784 2.784 2.784 Rh
4.621 4.621 2.784 Rh
4.621 2.784 4.621 Rh
2.784 4.621 4.621 Rh
```

(2)
## Ce6Pt3Rh (PBE)

Data for a geometry-optimized Ce6Pt3Rh structure.

Computed properties:
ΔE_f	-0.715	eV/atom
total magnetic moment	11.5	Bohr magnetons per cell
space-group type	P2_1/c, No. 14

Cell and atoms, written as POSCAR:
```
Ce6Pt3Rh
1.0
6.731 0.000 0.000
0.000 7.612 0.000
-6.715 0.000 10.563
Ce Pt Rh
12 6 2
Cartesian
-2.307 1.357 4.441 Ce
-5.664 2.449 9.722 Ce
-1.101 5.117 4.447 Ce
-4.459 6.302 9.728 Ce
1.105 0.432 2.610 Ce
-2.252 3.375 7.892 Ce
2.268 4.238 2.671 Ce
-1.089 7.181 7.953 Ce
4.475 1.311 0.835 Ce
1.117 2.496 6.116 Ce
5.680 5.163 0.841 Ce
2.323 6.255 6.122 Ce
-3.735 0.894 7.908 Pt
-0.377 2.912 2.626 Pt
0.008 0.000 5.281 Pt
3.366 3.806 0.000 Pt
0.393 4.700 7.937 Pt
3.750 6.718 2.655 Pt
0.000 0.000 0.000 Rh
-3.358 3.806 5.281 Rh
```

(3)
## Ce6Pt2Rh (PBE)

Data for a geometry-optimized Ce6Pt2Rh structure.

Computed properties:
ΔE_f	-0.618	eV/atom
total magnetic moment	1.7	Bohr magnetons per cell
space-group type	Amm2, No. 38

Cell and atoms, written as POSCAR:
```
Ce6Pt2Rh
1.0
3.689 0.000 0.000
0.000 7.613 3.884
0.000 -7.613 3.884
Ce Pt Rh
6 2 1
Cartesian
0.000 0.000 0.000 Ce
0.000 -1.994 4.831 Ce
0.000 1.994 4.831 Ce
1.844 -4.691 3.700 Ce
1.844 0.000 2.249 Ce
1.844 4.691 3.700 Ce
0.000 -2.602 2.055 Pt
0.000 2.602 2.055 Pt
1.844 0.000 5.357 Rh
```

(4)
## CePt2Rh2 (PBE)

Data for a geometry-optimized CePt2Rh2 structure.

Computed properties:
ΔE_f	-0.434	eV/atom
total magnetic moment	0.0	Bohr magnetons per cell
space-group type	I4/mmm, No. 139
offset from the most stable computed form	0.000	eV per atom

Cell and atoms, written as POSCAR:
```
CePt2Rh2
1.0
-1.945 1.945 12.361
1.945 -1.945 12.361
1.945 1.945 -12.361
Ce Pt Rh
2 4 4
Cartesian
0.000 0.000 3.258 Ce
0.000 0.000 21.465 Ce
1.945 0.000 6.181 Pt
0.000 0.000 10.563 Pt
0.000 0.000 14.160 Pt
0.000 1.945 6.181 Pt
1.945 0.000 0.000 Rh
0.000 0.000 8.065 Rh
0.000 1.945 0.000 Rh
0.000 0.000 16.658 Rh
```

(5)
## Ce2PtRh4 (PBE)

Data for a geometry-optimized Ce2PtRh4 structure.

Computed properties:
ΔE_f	-0.552	eV/atom
total magnetic moment	0.0	Bohr magnetons per cell
space-group type	I4/mmm, No. 139
offset from the most stable computed form	0.002	eV per atom

Cell and atoms, written as POSCAR:
```
Ce2PtRh4
1.0
-1.914 1.914 9.132
1.914 -1.914 9.132
1.914 1.914 -9.132
Ce Pt Rh
2 1 4
Cartesian
0.000 0.000 1.885 Ce
0.000 0.000 16.378 Ce
0.000 0.000 9.132 Pt
1.914 0.000 4.566 Rh
0.000 0.000 6.458 Rh
0.000 0.000 11.806 Rh
0.000 1.914 4.566 Rh
```

(6)
## Ce2Pt2Rh (PBE)

Data for a geometry-optimized Ce2Pt2Rh structure.

Computed properties:
ΔE_f	-0.880	eV/atom
total magnetic moment	0.0	Bohr magnetons per cell
space-group type	P4/mnc, No. 128

Cell and atoms, written as POSCAR:
```
Ce2Pt2Rh
1.0
7.462 0.000 0.000
0.000 7.462 0.000
0.000 0.000 7.699
Ce Pt Rh
8 8 4
Cartesian
1.287 2.379 0.000 Ce
1.351 2.444 3.849 Ce
2.379 6.175 0.000 Ce
2.444 6.110 3.849 Ce
5.018 1.351 3.849 Ce
5.082 1.287 0.000 Ce
6.110 5.018 3.849 Ce
6.175 5.082 0.000 Ce
0.986 4.717 1.925 Pt
0.986 4.717 5.774 Pt
2.744 0.986 1.925 Pt
2.744 0.986 5.774 Pt
4.717 6.475 1.925 Pt
4.717 6.475 5.774 Pt
6.475 2.744 1.925 Pt
6.475 2.744 5.774 Pt
0.000 0.000 1.609 Rh
0.000 0.000 6.090 Rh
3.731 3.731 2.241 Rh
3.731 3.731 5.458 Rh
```

(7)
## CePtRh4 (PBE)

Data for a geometry-optimized CePtRh4 structure.

Computed properties:
ΔE_f	-0.270	eV/atom
total magnetic moment	0.0	Bohr magnetons per cell
space-group type	Pmma, No. 51
offset from the most stable computed form	0.042	eV per atom

Cell and atoms, written as POSCAR:
```
CePtRh4
1.0
7.809 0.000 0.000
0.000 3.981 0.000
0.000 0.000 6.649
Ce Pt Rh
2 2 8
Cartesian
1.952 0.000 1.095 Ce
5.857 0.000 5.554 Ce
1.952 0.000 5.113 Pt
5.857 0.000 1.536 Pt
0.000 0.000 3.324 Rh
0.172 1.991 5.287 Rh
1.952 1.991 3.155 Rh
3.732 1.991 5.287 Rh
3.905 0.000 3.324 Rh
4.077 1.991 1.361 Rh
5.857 1.991 3.494 Rh
7.637 1.991 1.361 Rh
```

(8)
## Ce4PtRh3 (PBE)

Data for a geometry-optimized Ce4PtRh3 structure.

Computed properties:
ΔE_f	-0.851	eV/atom
total magnetic moment	1.4	Bohr magnetons per cell
space-group type	Pmm2, No. 25

Cell and atoms, written as POSCAR:
```
Ce4PtRh3
1.0
3.867 0.000 0.000
0.000 4.103 0.000
0.000 0.000 11.237
Ce Pt Rh
4 1 3
Cartesian
0.000 0.000 0.000 Ce
0.000 2.051 3.034 Ce
1.934 0.000 5.539 Ce
1.934 2.051 8.686 Ce
0.000 0.000 8.141 Pt
0.000 2.051 5.978 Rh
1.934 0.000 2.577 Rh
1.934 2.051 0.386 Rh
```